{
  "formula": "LiPrAl4",
  "functional": "PBE-GGA",
  "state": "relaxed",
  "ef_mev_per_atom": -261,
  "volume_a3_per_fu": 123,
  "energy_ev_per_atom": -3.872,
  "dos_ef_per_ev_atom": 0.65,
  "sg": "F-43m (216)",
  "cell": [[-5.302, -1.471, 0.946], [-3.213, -1.729, -4.226], [-1.512, -5.363, -0.343]],
  "species": ["Al", "Al", "Al", "Al", "Li", "Pr"],
  "fractional_positions": [[0.625, 0.124, 0.625], [0.625, 0.625, 0.124], [0.625, 0.625, 0.625], [0.124, 0.625, 0.625], [0.250, 0.250, 0.250], [0.000, 0.000, 0.000]]
}

{
  "formula": "SmTm2Br",
  "functional": "PBE-GGA",
  "state": "relaxed",
  "formation_energy_uncorrected_mev_per_atom": -187,
  "volume_a3_per_fu": 119,
  "energy_ev_per_atom": -4.021,
  "dos_ef_per_ev_atom": 1.80,
  "sg": "R-3m (166)",
  "cell": [[3.468, 0.000, 0.000], [1.734, 3.003, 0.000], [1.734, 1.001, 11.411]],
  "species": ["Br", "Tm", "Tm", "Sm"],
  "fractional_positions": [[0.500, 0.500, 0.500], [0.098, 0.098, 0.706], [0.902, 0.902, 0.294], [0.000, 0.000, 0.000]]
}

{
  "formula": "AcPmHfN3",
  "functional": "PBE-GGA",
  "state": "relaxed",
  "formation_energy_uncorrected_mev_per_atom": -1177,
  "volume_a3_per_fu": 124,
  "energy_ev_per_atom": -8.475,
  "dos_ef_per_ev_atom": 0.34,
  "sg": "P2_1/m (11)",
  "cell": [[-1.313, 2.767, 1.810], [-0.966, -4.181, 5.691], [9.002, 2.356, 2.930]],
  "species": ["Hf", "Hf", "N", "N", "N", "N", "N", "N", "Ac", "Ac", "Pm", "Pm"],
  "fractional_positions": [[0.250, 0.162, 0.563], [0.750, 0.838, 0.437], [0.750, 0.360, 0.109], [0.250, 0.174, 0.771], [0.750, 0.136, 0.447], [0.250, 0.864, 0.553], [0.750, 0.826, 0.229], [0.250, 0.640, 0.891], [0.750, 0.852, 0.798], [0.250, 0.148, 0.202], [0.250, 0.628, 0.131], [0.750, 0.372, 0.869]]
}

{
  "formula": "Nd4Pb2F",
  "functional": "PBE-GGA",
  "state": "relaxed",
  "formation_energy_uncorrected_mev_per_atom": -1021,
  "volume_a3_per_fu": 208,
  "energy_ev_per_atom": -5.072,
  "dos_ef_per_ev_atom": 0.91,
  "sg": "I4/mmm (139)",
  "cell": [[-0.988, -2.703, -3.812], [-0.771, -3.748, 2.858], [-9.667, -0.925, 0.170]],
  "species": ["Nd", "Nd", "Nd", "Nd", "Pb", "Pb", "F"],
  "fractional_positions": [[0.000, 0.500, 0.000], [0.500, 0.000, 0.000], [0.815, 0.815, 0.371], [0.185, 0.185, 0.629], [0.634, 0.634, 0.731], [0.366, 0.366, 0.269], [0.000, 0.000, 0.000]]
}